Model A:
# CoTe2Pd2 PBE relaxed
data_CoTe2Pd2
_chemical_formula_sum 'Co4 Te8 Pd8'
_cell_length_a 6.3173
_cell_length_b 11.2079
_cell_length_c 5.2421
_cell_angle_alpha 90.00
_cell_angle_beta 90.00
_cell_angle_gamma 90.00
_symmetry_space_group_name_H-M 'I b a m'
_symmetry_Int_Tables_number 72
_symmetry_space_group_name_Hall '-I 2 2c'
loop_
_atom_site_label
_atom_site_type_symbol
_atom_site_fract_x
_atom_site_fract_y
_atom_site_fract_z
Co1 Co 0.0000 0.0000 0.2500
Te1 Te 0.2147 0.1442 0.0000
Pd1 Pd 0.1324 0.3940 0.0000
# Density of states at the Fermi level in states/eV/cell: 8.73
# Size of the total moment in μB/f.u.: 0.00

---

Model B:
# CoTe2Pd2 PBE relaxed
data_CoTe2Pd2
_chemical_formula_sum 'Co4 Te8 Pd8'
_cell_length_a 3.9374
_cell_length_b 3.9374
_cell_length_c 24.4118
_cell_angle_alpha 90.00
_cell_angle_beta 90.00
_cell_angle_gamma 90.00
_symmetry_space_group_name_H-M 'I 41/a m d'
_symmetry_Int_Tables_number 141
loop_
_symmetry_equiv_pos_as_xyz
'x,y,z'
'-x,-y,-z'
'-y+1/4,x+3/4,z+1/4'
'y+1/4,-x+3/4,-z+1/4'
'-x+1/2,-y,z+1/2'
'x+1/2,y,-z+1/2'
'y+1/4,-x+1/4,z+3/4'
'-y+1/4,x+1/4,-z+3/4'
'x,-y,-z'
'-x,y,z'
'-y+1/4,-x+1/4,-z+3/4'
'y+1/4,x+1/4,z+3/4'
'-x+1/2,y,-z+1/2'
'x+1/2,-y,z+1/2'
'y+1/4,x+3/4,-z+1/4'
'-y+1/4,-x+3/4,z+1/4'
'x+1/2,y+1/2,z+1/2'
'-x+1/2,-y+1/2,-z+1/2'
'-y+3/4,x+1/4,z+3/4'
'y+3/4,-x+1/4,-z+3/4'
'-x,-y+1/2,z'
'x,y+1/2,-z'
'y+3/4,-x+3/4,z+1/4'
'-y+3/4,x+3/4,-z+1/4'
'x+1/2,-y+1/2,-z+1/2'
'-x+1/2,y+1/2,z+1/2'
'-y+3/4,-x+3/4,-z+1/4'
'y+3/4,x+3/4,z+1/4'
'-x,y+1/2,-z'
'x,-y+1/2,z'
'y+3/4,x+1/4,-z+3/4'
'-y+3/4,-x+1/4,z+3/4'
loop_
_atom_site_label
_atom_site_type_symbol
_atom_site_fract_x
_atom_site_fract_y
_atom_site_fract_z
Co1 Co 0.0000 0.2500 0.3750
Te1 Te 0.0000 0.2500 0.1862
Pd1 Pd 0.0000 0.2500 0.0468
# Density of states at the Fermi level in states/eV/cell: 11.03
# Size of the total moment in μB/f.u.: 0.00

---

Which is the most stable structure? model A is the most stable.

---

Model A:
# CoTe6Pd3 PBE relaxed
data_CoTe6Pd3
_chemical_formula_sum 'Co6 Te36 Pd18'
_cell_length_a 11.2641
_cell_length_b 11.2641
_cell_length_c 13.7816
_cell_angle_alpha 90.00
_cell_angle_beta 90.00
_cell_angle_gamma 120.00
_symmetry_space_group_name_H-M 'R -3'
_symmetry_Int_Tables_number 148
_symmetry_space_group_name_Hall '-R 3'
loop_
_atom_site_label
_atom_site_type_symbol
_atom_site_fract_x
_atom_site_fract_y
_atom_site_fract_z
Co1 Co 0.0000 0.0000 0.0000
Co2 Co 0.0000 0.0000 0.5000
Te1 Te 0.0274 0.8184 0.4048
Te2 Te 0.0314 0.8434 0.8799
Pd1 Pd 0.0467 0.7871 0.2080
# Density of states at the Fermi level in states/eV/cell: 44.31
# Size of the total moment in μB/f.u.: 0.00

---

Model B:
# CoTe6Pd3 PBE relaxed
data_CoTe6Pd3
_chemical_formula_sum 'Co1 Te6 Pd3'
_cell_length_a 6.0165
_cell_length_b 8.0361
_cell_length_c 8.0364
_cell_angle_alpha 60.31
_cell_angle_beta 68.97
_cell_angle_gamma 68.64
_symmetry_space_group_name_H-M 'P -1'
_symmetry_Int_Tables_number 2
loop_
_symmetry_equiv_pos_as_xyz
'x,y,z'
'-x,-y,-z'
loop_
_atom_site_label
_atom_site_type_symbol
_atom_site_fract_x
_atom_site_fract_y
_atom_site_fract_z
Co1 Co 0.0000 0.0000 0.0000
Te1 Te 0.2290 0.2739 0.8181
Te2 Te 0.2349 0.8223 0.2708
Te3 Te 0.2438 0.7874 0.7895
Pd1 Pd 0.0000 0.0000 0.5000
Pd2 Pd 0.0000 0.5000 0.0000
Pd3 Pd 0.5000 0.5000 0.5000
# Density of states at the Fermi level in states/eV/cell: 3.78
# Size of the total moment in μB/f.u.: 0.00

---

Which is the most stable structure? model A is the most stable.

---

Model A:
# TmThCoPd PBE relaxed
data_TmThCoPd
_chemical_formula_sum 'Tm4 Th4 Co4 Pd4'
_cell_length_a 6.9721
_cell_length_b 6.9721
_cell_length_c 6.9721
_cell_angle_alpha 90.00
_cell_angle_beta 90.00
_cell_angle_gamma 90.00
_symmetry_space_group_name_H-M 'F -4 3 m'
_symmetry_Int_Tables_number 216
_symmetry_space_group_name_Hall 'F -4 2 3'
loop_
_atom_site_label
_atom_site_type_symbol
_atom_site_fract_x
_atom_site_fract_y
_atom_site_fract_z
Tm1 Tm 0.0000 0.0000 0.0000
Th1 Th 0.0000 0.0000 0.5000
Co1 Co 0.2500 0.2500 0.7500
Pd1 Pd 0.2500 0.2500 0.2500
# Density of states at the Fermi level in states/eV/cell: 15.00
# Size of the total moment in μB/f.u.: 0.45

---

Model B:
# TmThCoPd PBE relaxed
data_TmThCoPd
_chemical_formula_sum 'Tm2 Th2 Co2 Pd2'
_cell_length_a 3.9782
_cell_length_b 3.7735
_cell_length_c 11.3878
_cell_angle_alpha 90.00
_cell_angle_beta 90.00
_cell_angle_gamma 90.00
_symmetry_space_group_name_H-M 'A m m 2'
_symmetry_Int_Tables_number 38
loop_
_symmetry_equiv_pos_as_xyz
'x,y,z'
'-x,-y,z'
'-x,y,z'
'x,-y,z'
'x,y+1/2,z+1/2'
'-x,-y+1/2,z+1/2'
'-x,y+1/2,z+1/2'
'x,-y+1/2,z+1/2'
loop_
_atom_site_label
_atom_site_type_symbol
_atom_site_fract_x
_atom_site_fract_y
_atom_site_fract_z
Tm1 Tm 0.0000 0.0000 0.0000
Th1 Th 0.5000 0.0000 0.7192
Co1 Co 0.0000 0.0000 0.2531
Pd1 Pd 0.5000 0.0000 0.4351
# Density of states at the Fermi level in states/eV/cell: 5.81
# Size of the total moment in μB/f.u.: 0.00

---

Which is the most stable structure? model B is the most stable.

---

Model A:
# Ti2Co2Pd PBE relaxed
data_Ti2Co2Pd
_chemical_formula_sum 'Ti2 Co2 Pd1'
_cell_length_a 4.2131
_cell_length_b 4.2131
_cell_length_c 4.8388
_cell_angle_alpha 90.00
_cell_angle_beta 90.00
_cell_angle_gamma 120.00
_symmetry_space_group_name_H-M 'P -3 m 1'
_symmetry_Int_Tables_number 164
_symmetry_space_group_name_Hall '-P 3 2"'
loop_
_atom_site_label
_atom_site_type_symbol
_atom_site_fract_x
_atom_site_fract_y
_atom_site_fract_z
Ti1 Ti 0.3333 0.6667 0.2176
Co1 Co 0.3333 0.6667 0.6962
Pd1 Pd 0.0000 0.0000 0.0000
# Density of states at the Fermi level in states/eV/cell: 2.41
# Size of the total moment in μB/f.u.: 0.00

---

Model B:
# Ti2Co2Pd PBE relaxed
data_Ti2Co2Pd
_chemical_formula_sum 'Ti4 Co4 Pd2'
_cell_length_a 7.0158
_cell_length_b 7.0158
_cell_length_c 2.8208
_cell_angle_alpha 90.00
_cell_angle_beta 90.00
_cell_angle_gamma 90.00
_symmetry_space_group_name_H-M 'P 4/m b m'
_symmetry_Int_Tables_number 127
_symmetry_space_group_name_Hall '-P 4 2ab'
loop_
_atom_site_label
_atom_site_type_symbol
_atom_site_fract_x
_atom_site_fract_y
_atom_site_fract_z
Ti1 Ti 0.1527 0.3473 0.0000
Co1 Co 0.1402 0.6402 0.5000
Pd1 Pd 0.0000 0.0000 0.0000
# Density of states at the Fermi level in states/eV/cell: 5.51
# Size of the total moment in μB/f.u.: 0.00

---

Which is the most stable structure? model B is the most stable.